(1)
# KSbPb2 (PBE, relaxed)
# Raw formation energy in kJ per mole of atoms: 8
# M_tot in μB per formula unit: 0.0
# DOS(E_F) in states/eV per atom: 0.662
# Calculated total energy in eV/atom: -3.071
data_KSbPb2
_chemical_formula_sum 'K1 Sb1 Pb2'
_symmetry_space_group_name_H-M 'P 1'
_symmetry_Int_Tables_number 1
_cell_length_a 3.575
_cell_length_b 3.575
_cell_length_c 10.904
_cell_angle_alpha 90.00
_cell_angle_beta 90.00
_cell_angle_gamma 106.39
loop_
_symmetry_equiv_pos_as_xyz
'x,y,z'
loop_
_atom_site_label
_atom_site_type_symbol
_atom_site_fract_x
_atom_site_fract_y
_atom_site_fract_z
_atom_site_occupancy
K1 K 0.500 0.500 0.750 1
Pb1 Pb 0.000 0.000 0.027 1
Pb2 Pb 0.000 0.000 0.473 1
Sb1 Sb 0.500 0.500 0.250 1



(2)
# KSb2Pb (PBE, relaxed)
# Raw formation energy in kJ per mole of atoms: -1
# M_tot in μB per formula unit: 0.0
# DOS(E_F) in states/eV per atom: 0.656
# Calculated total energy in eV/atom: -3.277
data_KSb2Pb
_chemical_formula_sum 'K1 Sb2 Pb1'
_symmetry_space_group_name_H-M 'P 1'
_symmetry_Int_Tables_number 1
_cell_length_a 6.148
_cell_length_b 6.148
_cell_length_c 6.148
_cell_angle_alpha 132.56
_cell_angle_beta 132.56
_cell_angle_gamma 69.34
loop_
_symmetry_equiv_pos_as_xyz
'x,y,z'
loop_
_atom_site_label
_atom_site_type_symbol
_atom_site_fract_x
_atom_site_fract_y
_atom_site_fract_z
_atom_site_occupancy
K1 K 0.500 0.500 0.000 1
Pb1 Pb 0.750 0.250 0.500 1
Sb1 Sb 0.250 0.750 0.500 1
Sb2 Sb 0.000 0.000 0.000 1



(3)
# K2SbPb (PBE, relaxed)
# Raw formation energy in kJ per mole of atoms: -7
# M_tot in μB per formula unit: 0.0
# DOS(E_F) in states/eV per atom: 0.978
# Calculated total energy in eV/atom: -2.582
# Energy above the lowest structure with this stoichiometry in eV/f.u.: 0.91
data_K2SbPb
_chemical_formula_sum 'K2 Sb1 Pb1'
_symmetry_space_group_name_H-M 'P 1'
_symmetry_Int_Tables_number 1
_cell_length_a 4.539
_cell_length_b 4.539
_cell_length_c 7.023
_cell_angle_alpha 90.00
_cell_angle_beta 90.00
_cell_angle_gamma 90.00
loop_
_symmetry_equiv_pos_as_xyz
'x,y,z'
loop_
_atom_site_label
_atom_site_type_symbol
_atom_site_fract_x
_atom_site_fract_y
_atom_site_fract_z
_atom_site_occupancy
K1 K 0.000 0.000 0.986 1
K2 K 0.000 0.000 0.514 1
Pb1 Pb 0.500 0.500 0.250 1
Sb1 Sb 0.500 0.500 0.750 1



(4)
# KSb2Pb2 (PBE, relaxed)
# Raw formation energy in kJ per mole of atoms: -14
# M_tot in μB per formula unit: 0.0
# DOS(E_F) in states/eV per atom: 0.514
# Calculated total energy in eV/atom: -3.499
# Energy above the lowest structure with this stoichiometry in eV/f.u.: 0.06
data_KSb2Pb2
_chemical_formula_sum 'K1 Sb2 Pb2'
_symmetry_space_group_name_H-M 'P 1'
_symmetry_Int_Tables_number 1
_cell_length_a 4.442
_cell_length_b 4.442
_cell_length_c 11.143
_cell_angle_alpha 78.50
_cell_angle_beta 78.50
_cell_angle_gamma 60.00
loop_
_symmetry_equiv_pos_as_xyz
'x,y,z'
loop_
_atom_site_label
_atom_site_type_symbol
_atom_site_fract_x
_atom_site_fract_y
_atom_site_fract_z
_atom_site_occupancy
Sb1 Sb 0.411 0.411 0.767 1
Sb2 Sb 0.589 0.589 0.233 1
Pb1 Pb 0.793 0.793 0.620 1
Pb2 Pb 0.207 0.207 0.380 1
K1 K 0.000 0.000 0.000 1